# 1
A geometry-optimized KBe2Ga structure. Source: the Alexandria database, functional GGA-PBE.

Unit cell a=8.162 b=8.162 c=8.162 alpha=144.00 beta=144.00 gamma=51.82
Fractional coordinates of all 8 atoms:
K  0.375  0.625  0.750
K  0.625  0.375  0.250
Be  0.000  0.000  0.000
Be  0.000  0.000  0.500
Be  0.000  0.500  0.000
Be  0.500  0.000  0.500
Ga  0.125  0.875  0.250
Ga  0.875  0.125  0.750

Computed properties:
The value obtained for the energy of formation is 0.541 eV per atom. The total energy comes out at -2.354 eV per atom.


# 2
A geometry-optimized ZrCdIn2 structure. Source: the Alexandria database, functional GGA-PBE.

Unit cell a=4.501 b=4.501 c=4.343 alpha=90.00 beta=90.00 gamma=90.00
Fractional coordinates of all 4 atoms:
Zr  0.000  0.000  0.000
Cd  0.500  0.500  0.000
In  0.000  0.500  0.500
In  0.500  0.000  0.500

Computed properties:
The value obtained for the energy of formation is -0.231 eV per atom. The total energy comes out at -3.966 eV per atom.


# 3
A geometry-optimized Na2AcBiSe4 structure. Source: the Alexandria database, functional GGA-PBE.

Unit cell a=7.524 b=4.384 c=7.548 alpha=90.00 beta=109.64 gamma=90.00
Fractional coordinates of all 8 atoms:
Na  0.000  0.000  0.000
Na  0.000  0.500  0.500
Ac  0.500  0.000  0.500
Bi  0.500  0.500  0.000
Se  0.256  0.500  0.241
Se  0.260  0.000  0.764
Se  0.740  0.000  0.236
Se  0.744  0.500  0.759

Computed properties:
The formation energy from raw total energies comes out at -1.2262 eV/atom. The total energy comes out at -4.297 eV per atom.